Crystalline BaNa2FeAu at its relaxed geometry, computed with GGA-PBE.

abc: 5.423 5.423 5.865
angles: 90.00 90.00 90.00
Space group P4/mmm (No. 123)
Symmetry-distinct sites (fractional):
Ba (0.000, 0.000, 0.000)
Na (0.000, 0.500, 0.500)
Fe (0.000, 0.000, 0.500)
Au (0.500, 0.500, 0.000)

electronic total energy = -0.1971 Ry/atom